[1]
Entry from Alexandria: an optimized crystal structure of NbCuN2O (PBE).

Properties
Total magnetization in μB per formula unit: 1.53
Calculated total energy in eV per atom: -6.99
Uncorrected formation energy in eV per formula unit: 0.8

abc: 4.106 4.106 3.960
angles: 90.00 90.00 90.00
Positions (direct):
Nb (0.000, 0.000, 0.000)
Cu (0.500, 0.500, 0.500)
N (0.000, 0.500, 0.000)
N (0.500, 0.000, 0.000)
O (0.000, 0.000, 0.500)



[2]
Entry from Alexandria: an optimized crystal structure of NbCuN2O (PBE).

Properties
Total magnetization in μB per formula unit: 0.01
Calculated total energy in eV per atom: -6.56
Uncorrected formation energy in eV per formula unit: 3.0

abc: 3.711 3.711 3.623
angles: 90.00 90.00 90.00
Positions (direct):
Nb (0.000, 0.000, 0.000)
Cu (0.500, 0.500, 0.500)
N (0.000, 0.500, 0.500)
N (0.500, 0.000, 0.500)
O (0.500, 0.500, 0.000)



[3]
Entry from Alexandria: an optimized crystal structure of NbCuPdN2 (PBE).

Properties
Total magnetization in μB per formula unit: 0.00
Calculated total energy in eV per atom: -5.60
Uncorrected formation energy in eV per formula unit: 8.0

abc: 3.894 3.894 4.467
angles: 90.00 90.00 90.00
Positions (direct):
Nb (0.000, 0.000, 0.000)
Cu (0.500, 0.500, 0.000)
Pd (0.500, 0.500, 0.500)
N (0.000, 0.500, 0.500)
N (0.500, 0.000, 0.500)



[4]
Entry from Alexandria: an optimized crystal structure of Pu2NbCuN5 (PBE).

Properties
Total magnetization in μB per formula unit: 6.85
Calculated total energy in eV per atom: -10.07
Uncorrected formation energy in eV per formula unit: -6.2

abc: 6.691 6.691 10.064
angles: 90.00 90.00 152.08
Positions (direct):
Pu (0.114, 0.886, 0.500)
Pu (0.134, 0.866, 0.122)
Pu (0.866, 0.134, 0.622)
Pu (0.886, 0.114, 0.000)
Nb (0.194, 0.806, 0.824)
Nb (0.806, 0.194, 0.324)
Cu (0.489, 0.511, 0.294)
Cu (0.511, 0.489, 0.794)
N (0.048, 0.952, 0.896)
N (0.290, 0.710, 0.474)
N (0.307, 0.693, 0.178)
N (0.356, 0.644, 0.829)
N (0.491, 0.509, 0.599)
N (0.509, 0.491, 0.099)
N (0.644, 0.356, 0.329)
N (0.693, 0.307, 0.678)
N (0.710, 0.290, 0.974)
N (0.952, 0.048, 0.396)



[5]
Entry from Alexandria: an optimized crystal structure of NbCuSeN2 (PBE).

Properties
Energy above the lowest structure with this stoichiometry in meV per atom: 857
Total magnetization in μB per formula unit: 0.00
Calculated total energy in eV per atom: -5.55
Uncorrected formation energy in eV per formula unit: 6.6

abc: 3.813 3.813 4.634
angles: 90.00 90.00 90.00
Positions (direct):
Nb (0.000, 0.000, 0.000)
Cu (0.500, 0.500, 0.500)
Se (0.500, 0.500, 0.000)
N (0.000, 0.500, 0.500)
N (0.500, 0.000, 0.500)



[6]
Entry from Alexandria: an optimized crystal structure of NbCuSeN2 (PBE).

Properties
Energy above the lowest structure with this stoichiometry in meV per atom: 0
Total magnetization in μB per formula unit: 0.68
Calculated total energy in eV per atom: -6.40
Uncorrected formation energy in eV per formula unit: 2.3

abc: 3.941 3.941 5.608
angles: 90.00 90.00 90.00
Positions (direct):
Nb (0.000, 0.000, 0.000)
Cu (0.500, 0.500, 0.500)
Se (0.000, 0.000, 0.500)
N (0.000, 0.500, 0.000)
N (0.500, 0.000, 0.000)



[7]
Entry from Alexandria: an optimized crystal structure of NbCuSe2N (PBE).

Properties
Energy above the lowest structure with this stoichiometry in meV per atom: 507
Total magnetization in μB per formula unit: 3.43
Calculated total energy in eV per atom: -5.09
Uncorrected formation energy in eV per formula unit: 4.0

abc: 4.950 4.950 3.536
angles: 90.00 90.00 90.00
Positions (direct):
Nb (0.000, 0.000, 0.000)
Cu (0.500, 0.500, 0.500)
Se (0.000, 0.500, 0.500)
Se (0.500, 0.000, 0.500)
N (0.500, 0.500, 0.000)



[8]
Entry from Alexandria: an optimized crystal structure of NbCuSe2N (PBE).

Properties
Energy above the lowest structure with this stoichiometry in meV per atom: 0
Total magnetization in μB per formula unit: 0.35
Calculated total energy in eV per atom: -5.60
Uncorrected formation energy in eV per formula unit: 1.5

abc: 5.170 5.170 3.877
angles: 90.00 90.00 90.00
Positions (direct):
Nb (0.000, 0.000, 0.000)
Cu (0.500, 0.500, 0.500)
Se (0.000, 0.500, 0.000)
Se (0.500, 0.000, 0.000)
N (0.000, 0.000, 0.500)



[9]
Entry from Alexandria: an optimized crystal structure of Nb2CuSiN (PBE).

Properties
Total magnetization in μB per formula unit: 0.00
Calculated total energy in eV per atom: -7.68
Uncorrected formation energy in eV per formula unit: -0.4

abc: 4.305 4.305 3.710
angles: 90.00 90.00 90.00
Positions (direct):
Nb (0.000, 0.500, 0.000)
Nb (0.500, 0.000, 0.000)
Cu (0.000, 0.000, 0.500)
Si (0.500, 0.500, 0.500)
N (0.500, 0.500, 0.000)



[10]
Entry from Alexandria: an optimized crystal structure of NbCu2SnN (PBE).

Properties
Total magnetization in μB per formula unit: 1.97
Calculated total energy in eV per atom: -4.63
Uncorrected formation energy in eV per formula unit: 7.4

abc: 4.789 4.789 4.039
angles: 90.00 90.00 90.00
Positions (direct):
Nb (0.000, 0.000, 0.000)
Cu (0.000, 0.500, 0.500)
Cu (0.500, 0.000, 0.500)
Sn (0.500, 0.500, 0.500)
N (0.500, 0.500, 0.000)



[11]
Entry from Alexandria: an optimized crystal structure of TaNb2CuN (PBE).

Properties
Total magnetization in μB per formula unit: 0.00
Calculated total energy in eV per atom: -9.21
Uncorrected formation energy in eV per formula unit: -1.6

abc: 4.264 4.264 4.140
angles: 90.00 90.00 90.00
Positions (direct):
Ta (0.000, 0.000, 0.000)
Nb (0.000, 0.500, 0.500)
Nb (0.500, 0.000, 0.500)
Cu (0.500, 0.500, 0.000)
N (0.000, 0.000, 0.500)



[12]
Entry from Alexandria: an optimized crystal structure of NbCuTeN2 (PBE).

Properties
Energy above the lowest structure with this stoichiometry in meV per atom: 0
Total magnetization in μB per formula unit: 0.63
Calculated total energy in eV per atom: -6.34
Uncorrected formation energy in eV per formula unit: 2.3

abc: 3.975 3.975 6.002
angles: 90.00 90.00 90.00
Positions (direct):
Nb (0.000, 0.000, 0.000)
Cu (0.500, 0.500, 0.500)
Te (0.000, 0.000, 0.500)
N (0.000, 0.500, 0.000)
N (0.500, 0.000, 0.000)



[13]
Entry from Alexandria: an optimized crystal structure of NbCuTeN2 (PBE).

Properties
Energy above the lowest structure with this stoichiometry in meV per atom: 1098
Total magnetization in μB per formula unit: 0.35
Calculated total energy in eV per atom: -5.24
Uncorrected formation energy in eV per formula unit: 7.8

abc: 3.936 3.936 5.098
angles: 90.00 90.00 90.00
Positions (direct):
Nb (0.000, 0.000, 0.000)
Cu (0.500, 0.500, 0.500)
Te (0.500, 0.500, 0.000)
N (0.000, 0.500, 0.500)
N (0.500, 0.000, 0.500)



[14]
Entry from Alexandria: an optimized crystal structure of Ti2NbCuN (PBE).

Properties
Total magnetization in μB per formula unit: 0.00
Calculated total energy in eV per atom: -8.32
Uncorrected formation energy in eV per formula unit: -3.3

abc: 4.059 4.059 4.269
angles: 90.00 90.00 90.00
Positions (direct):
Ti (0.000, 0.500, 0.000)
Ti (0.500, 0.000, 0.000)
Nb (0.000, 0.000, 0.500)
Cu (0.500, 0.500, 0.500)
N (0.000, 0.000, 0.000)



[15]
Entry from Alexandria: an optimized crystal structure of Nb2VCuN (PBE).

Properties
Total magnetization in μB per formula unit: 0.00
Calculated total energy in eV per atom: -8.74
Uncorrected formation energy in eV per formula unit: -2.0

abc: 4.295 4.295 3.796
angles: 90.00 90.00 90.00
Positions (direct):
Nb (0.000, 0.500, 0.000)
Nb (0.500, 0.000, 0.000)
V (0.000, 0.000, 0.500)
Cu (0.500, 0.500, 0.500)
N (0.000, 0.000, 0.000)



[16]
Entry from Alexandria: an optimized crystal structure of NbV2CuN (PBE).

Properties
Total magnetization in μB per formula unit: 0.00
Calculated total energy in eV per atom: -8.57
Uncorrected formation energy in eV per formula unit: -2.1

abc: 3.887 3.887 4.286
angles: 90.00 90.00 90.00
Positions (direct):
Nb (0.000, 0.000, 0.000)
V (0.000, 0.500, 0.500)
V (0.500, 0.000, 0.500)
Cu (0.500, 0.500, 0.000)
N (0.000, 0.000, 0.500)



[17]
Entry from Alexandria: an optimized crystal structure of YNbCu2N (PBE).

Properties
Total magnetization in μB per formula unit: 0.00
Calculated total energy in eV per atom: -6.50
Uncorrected formation energy in eV per formula unit: 0.5

abc: 4.329 4.329 4.194
angles: 90.00 90.00 90.00
Positions (direct):
Y (0.000, 0.000, 0.000)
Nb (0.500, 0.500, 0.000)
Cu (0.000, 0.500, 0.500)
Cu (0.500, 0.000, 0.500)
N (0.500, 0.500, 0.500)



[18]
Entry from Alexandria: an optimized crystal structure of Y2NbCuN (PBE).

Properties
Total magnetization in μB per formula unit: 1.84
Calculated total energy in eV per atom: -5.51
Uncorrected formation energy in eV per formula unit: 7.9

abc: 5.380 5.380 4.565
angles: 90.00 90.00 90.00
Positions (direct):
Y (0.000, 0.500, 0.000)
Y (0.500, 0.000, 0.000)
Nb (0.000, 0.000, 0.000)
Cu (0.000, 0.000, 0.500)
N (0.500, 0.500, 0.500)



[19]
Entry from Alexandria: an optimized crystal structure of Zr2NbCuN (PBE).

Properties
Total magnetization in μB per formula unit: 0.00
Calculated total energy in eV per atom: -8.51
Uncorrected formation energy in eV per formula unit: -3.0

abc: 4.479 4.479 4.138
angles: 90.00 90.00 90.00
Positions (direct):
Zr (0.000, 0.500, 0.000)
Zr (0.500, 0.000, 0.000)
Nb (0.000, 0.000, 0.500)
Cu (0.500, 0.500, 0.500)
N (0.000, 0.000, 0.000)



[20]
Entry from Alexandria: an optimized crystal structure of ZrNb2CuN (PBE).

Properties
Total magnetization in μB per formula unit: 0.00
Calculated total energy in eV per atom: -8.70
Uncorrected formation energy in eV per formula unit: -2.4

abc: 4.221 4.221 4.452
angles: 90.00 90.00 90.00
Positions (direct):
Zr (0.000, 0.000, 0.000)
Nb (0.000, 0.500, 0.500)
Nb (0.500, 0.000, 0.500)
Cu (0.500, 0.500, 0.000)
N (0.000, 0.000, 0.500)



[21]
Entry from Alexandria: an optimized crystal structure of Nd4Cu2N (PBE).

Properties
Total magnetization in μB per formula unit: 0.00
Calculated total energy in eV per atom: -5.23
Uncorrected formation energy in eV per formula unit: -1.0

abc: 8.529 8.529 8.529
angles: 147.16 147.16 47.12
Positions (direct):
Nd (0.000, 0.500, 0.500)
Nd (0.193, 0.193, 0.000)
Nd (0.500, 0.000, 0.500)
Nd (0.807, 0.807, 0.000)
Cu (0.372, 0.372, 0.000)
Cu (0.628, 0.628, 0.000)
N (0.500, 0.500, 0.000)



[22]
Entry from Alexandria: an optimized crystal structure of Nd12Cu6N (PBE).

Properties
Total magnetization in μB per formula unit: 0.00
Calculated total energy in eV per atom: -4.83
Uncorrected formation energy in eV per formula unit: -1.6

abc: 8.158 8.158 8.158
angles: 96.72 96.72 96.72
Positions (direct):
Nd (0.021, 0.695, 0.924)
Nd (0.076, 0.979, 0.305)
Nd (0.192, 0.415, 0.571)
Nd (0.305, 0.076, 0.979)
Nd (0.415, 0.571, 0.192)
Nd (0.429, 0.808, 0.585)
Nd (0.571, 0.192, 0.415)
Nd (0.585, 0.429, 0.808)
Nd (0.695, 0.924, 0.021)
Nd (0.808, 0.585, 0.429)
Nd (0.924, 0.021, 0.695)
Nd (0.979, 0.305, 0.076)
Cu (0.120, 0.634, 0.305)
Cu (0.305, 0.120, 0.634)
Cu (0.366, 0.695, 0.880)
Cu (0.634, 0.305, 0.120)
Cu (0.695, 0.880, 0.366)
Cu (0.880, 0.366, 0.695)
N (0.000, 0.000, 0.000)



[23]
Entry from Alexandria: an optimized crystal structure of NdCu2PN (PBE).

Properties
Total magnetization in μB per formula unit: 0.00
Calculated total energy in eV per atom: -5.95
Uncorrected formation energy in eV per formula unit: -3.1

abc: 6.016 6.016 6.914
angles: 90.00 90.00 144.68
Positions (direct):
Nd (0.040, 0.960, 0.750)
Nd (0.960, 0.040, 0.250)
Cu (0.329, 0.671, 0.560)
Cu (0.329, 0.671, 0.940)
Cu (0.671, 0.329, 0.060)
Cu (0.671, 0.329, 0.440)
P (0.236, 0.764, 0.250)
P (0.764, 0.236, 0.750)
N (0.500, 0.500, 0.000)
N (0.500, 0.500, 0.500)



[24]
Entry from Alexandria: an optimized crystal structure of NdPa2CuN4 (PBE).

Properties
Total magnetization in μB per formula unit: 0.00
Calculated total energy in eV per atom: -8.86
Uncorrected formation energy in eV per formula unit: -9.7

abc: 6.037 6.037 11.491
angles: 90.00 90.00 145.72
Positions (direct):
Nd (0.098, 0.902, 0.750)
Nd (0.902, 0.098, 0.250)
Pa (0.371, 0.629, 0.557)
Pa (0.371, 0.629, 0.943)
Pa (0.629, 0.371, 0.057)
Pa (0.629, 0.371, 0.443)
Cu (0.172, 0.828, 0.250)
Cu (0.828, 0.172, 0.750)
N (0.000, 0.000, 0.000)
N (0.000, 0.000, 0.500)
N (0.267, 0.733, 0.108)
N (0.267, 0.733, 0.392)
N (0.439, 0.561, 0.750)
N (0.561, 0.439, 0.250)
N (0.733, 0.267, 0.608)
N (0.733, 0.267, 0.892)



[25]
Entry from Alexandria: an optimized crystal structure of NdPu2CuN4 (PBE).

Properties
Total magnetization in μB per formula unit: 8.00
Calculated total energy in eV per atom: -9.85
Uncorrected formation energy in eV per formula unit: -8.0

abc: 5.917 5.917 11.452
angles: 90.00 90.00 145.73
Positions (direct):
Nd (0.102, 0.898, 0.750)
Nd (0.898, 0.102, 0.250)
Pu (0.370, 0.630, 0.556)
Pu (0.370, 0.630, 0.944)
Pu (0.630, 0.370, 0.056)
Pu (0.630, 0.370, 0.444)
Cu (0.165, 0.835, 0.250)
Cu (0.835, 0.165, 0.750)
N (0.000, 0.000, 0.000)
N (0.000, 0.000, 0.500)
N (0.265, 0.735, 0.109)
N (0.265, 0.735, 0.391)
N (0.444, 0.556, 0.750)
N (0.556, 0.444, 0.250)
N (0.735, 0.265, 0.609)
N (0.735, 0.265, 0.891)